No. 1
## KLiCd2Au (PBE)

Data for a relaxed structure of KLiCd2Au.

Summary:
The value obtained for the density is 5.23 g cm⁻³. The crystal system is tetragonal. Its size of the total moment is 0.000 μB per atom. The density of states at the Fermi level comes out at 2.16 states/eV/f.u. As for the formation energy: -0.171 eV/atom.

Lattice parameters (Å, degrees): 5.3834 5.3834 5.1279 90.00 90.00 90.00
With the nearest neighbours (Å) after each atom.
Space group P4/mmm (No. 123)
Unique sites:
K  0.0000  0.0000  0.0000  8 Cd 3.72, 4 Li 3.81
Li  0.5000  0.5000  0.0000  2 Au 2.56
Cd  0.0000  0.5000  0.5000  2 Au 2.69
Au  0.5000  0.5000  0.5000  2 Li 2.56, 4 Cd 2.69

=====

No. 2
## Ce3PuHf2As6 (PBE)

Data for a relaxed structure of Ce3PuHf2As6.

Summary:
The value obtained for the density is 8.58 g cm⁻³. The crystal system is monoclinic. Its size of the total moment is 0.602 μB per atom. The density of states at the Fermi level comes out at 21.83 states/eV/f.u. As for the formation energy: -1.234 eV/atom.

Lattice parameters (Å, degrees): 7.0372 12.1930 7.0385 90.00 109.51 90.00
With the nearest neighbours (Å) after each atom.
Space group C2/m (No. 12)
Unique sites:
Ce  0.0000  0.0000  0.0000  6 As 2.90-2.97
Ce  0.0000  0.3370  0.0000  6 As 2.91-2.97
Pu  0.0000  0.5000  0.5000  6 As 2.86-2.87
Hf  0.0000  0.1678  0.5000  6 As 2.77-2.78
As  0.2315  0.0000  0.7282  2 Hf 2.77, 1 Pu 2.86, 3 Ce 2.90-2.96
As  0.2501  0.1720  0.2670  2 Hf 2.77-2.78, 1 Pu 2.87, 3 Ce 2.91-2.97